Arrangement i

# KCrMo2

A crystal of KCrMo2 relaxed with PBEsol (meta-GGA SCAN, Alexandria).

Lattice parameters (Å, degrees): 3.1028 3.1028 8.6029 90.00 90.00 90.00
Sites, in units of the cell vectors:
K: 0.0000 0.0000 0.0000
Cr: 0.5000 0.5000 0.6714
Mo: 0.0000 0.0000 0.5179
Mo: 0.5000 0.5000 0.3525

Results
ρ   5.673 g cm⁻³
Size of the total moment   3.390 Bohr magnetons per cell

Arrangement ii

# KCrMo2

A crystal of KCrMo2 relaxed with PBEsol (meta-GGA SCAN, Alexandria).

Lattice parameters (Å, degrees): 5.2960 10.0965 2.5454 90.00 90.00 90.00
Sites, in units of the cell vectors:
K: 0.0000 0.0000 0.0000
K: 0.5000 0.5000 0.0000
Cr: 0.0000 0.5000 0.0000
Cr: 0.5000 0.0000 0.0000
Mo: 0.2500 0.2500 0.5000
Mo: 0.2500 0.7500 0.5000
Mo: 0.7500 0.2500 0.5000
Mo: 0.7500 0.7500 0.5000

Results
ρ   6.905 g cm⁻³
Size of the total moment   6.498 Bohr magnetons per cell

Unit: meV per atom. Relative energies: arrangement i 0; arrangement ii 605.

Arrangement i

# BeZnTc2

A crystal of BeZnTc2 relaxed with PBEsol (meta-GGA SCAN, Alexandria).

Lattice parameters (Å, degrees): 2.8917 2.8917 6.0461 90.00 90.00 90.00
Sites, in units of the cell vectors:
Be: 0.0000 0.0000 0.0000
Zn: 0.5000 0.5000 0.7753
Tc: 0.0000 0.0000 0.4734
Tc: 0.5000 0.5000 0.2337

Results
ρ   8.882 g cm⁻³
Size of the total moment   0.000 Bohr magnetons per cell

Arrangement ii

# BeZnTc2

A crystal of BeZnTc2 relaxed with PBEsol (meta-GGA SCAN, Alexandria).

Lattice parameters (Å, degrees): 5.0900 8.1196 2.5581 90.00 105.32 90.00
Sites, in units of the cell vectors:
Be: 0.0000 0.0000 0.0000
Be: 0.5000 0.5000 0.0000
Zn: 0.0000 0.5000 0.0000
Zn: 0.5000 0.0000 0.0000
Tc: 0.2500 0.2500 0.5000
Tc: 0.2500 0.7500 0.5000
Tc: 0.7500 0.2500 0.5000
Tc: 0.7500 0.7500 0.5000

Results
ρ   8.808 g cm⁻³
Size of the total moment   0.000 Bohr magnetons per cell

Unit: meV per atom. Relative energies: arrangement i 0; arrangement ii 214.

Arrangement i

# RbH3Se

A crystal of RbH3Se relaxed with PBEsol (meta-GGA SCAN, Alexandria).

Lattice parameters (Å, degrees): 4.0634 4.0634 4.0634 90.00 90.00 90.00
Sites, in units of the cell vectors:
Rb: 0.0000 0.0000 0.0000
H: 0.0000 0.5000 0.5000
H: 0.5000 0.0000 0.5000
H: 0.5000 0.5000 0.0000
Se: 0.5000 0.5000 0.5000

Results
ρ   4.144 g cm⁻³
Size of the total moment   0.128 Bohr magnetons per cell

Arrangement ii

# RbH3Se

A crystal of RbH3Se relaxed with PBEsol (meta-GGA SCAN, Alexandria).

Lattice parameters (Å, degrees): 4.8819 4.8819 4.8819 90.00 90.00 90.00
Sites, in units of the cell vectors:
Rb: 0.0000 0.0000 0.0000
H: 0.0000 0.0000 0.5000
H: 0.0000 0.5000 0.0000
H: 0.5000 0.0000 0.0000
Se: 0.5000 0.5000 0.5000

Results
ρ   2.390 g cm⁻³
Size of the total moment   1.981 Bohr magnetons per cell

Unit: meV per atom. Relative energies: arrangement i 0; arrangement ii 1081.